DFT (SCAN) results for a crystal of CsHg3Rh relaxed with PBEsol.

abc: 5.270 5.270 5.270
angles: 90.00 90.00 90.00
Positions (direct):
Hg  0.500  0.000  0.000
Cs  0.500  0.500  0.500
Hg  0.000  0.000  0.500
Hg  0.000  0.500  0.000
Rh  0.000  0.000  0.000

Computed properties:
Energy relative to the elements (eV/atom): -0.257
Magnetization (μB/f.u.): 0.000
DOS(E_F) (states/eV per cell): 1.7